[1]
Here is a crystal of Cs2HgAsCl6 relaxed with PBEsol from Alexandria. Energies are from meta-GGA SCAN.

```
data_Cs2HgAsCl6
_symmetry_space_group_name_H-M 'P 1'
_symmetry_Int_Tables_number 1
_cell_length_a 7.4513
_cell_length_b 7.4513
_cell_length_c 7.4513
_cell_angle_alpha 60.00
_cell_angle_beta 60.00
_cell_angle_gamma 60.00
loop_
_symmetry_equiv_pos_as_xyz
'x,y,z'
loop_
_atom_site_label
_atom_site_fract_x
_atom_site_fract_y
_atom_site_fract_z
Cs1 0.2500 0.2500 0.2500
Cs2 0.7500 0.7500 0.7500
Hg1 0.0000 0.0000 0.0000
As1 0.5000 0.5000 0.5000
Cl1 0.2644 0.2644 0.7356
Cl2 0.2644 0.7356 0.2644
Cl3 0.2644 0.7356 0.7356
Cl4 0.7356 0.2644 0.2644
Cl5 0.7356 0.2644 0.7356
Cl6 0.7356 0.7356 0.2644
```

Summary:
* DOS at the Fermi energy: 0.2306 states/eV per atom
* total magnetic moment: 0.000 μB per atom
* E_tot: -22.495 eV/atom
* E_form (uncorrected): -13.11 eV/f.u.
* crystal system: cubic

[2]
Here is a crystal of Cs2RbAsCl6 relaxed with PBEsol from Alexandria. Energies are from meta-GGA SCAN.

```
data_Cs2RbAsCl6
_symmetry_space_group_name_H-M 'P 1'
_symmetry_Int_Tables_number 1
_cell_length_a 7.7995
_cell_length_b 7.7995
_cell_length_c 7.7995
_cell_angle_alpha 60.00
_cell_angle_beta 60.00
_cell_angle_gamma 60.00
loop_
_symmetry_equiv_pos_as_xyz
'x,y,z'
loop_
_atom_site_label
_atom_site_fract_x
_atom_site_fract_y
_atom_site_fract_z
Cs1 0.2500 0.2500 0.2500
Cs2 0.7500 0.7500 0.7500
Rb1 0.0000 0.0000 0.0000
As1 0.5000 0.5000 0.5000
Cl1 0.2754 0.2754 0.7246
Cl2 0.2754 0.7246 0.2754
Cl3 0.2754 0.7246 0.7246
Cl4 0.7246 0.2754 0.2754
Cl5 0.7246 0.2754 0.7246
Cl6 0.7246 0.7246 0.2754
```

Summary:
* DOS at the Fermi energy: 0.0000 states/eV per atom
* total magnetic moment: 0.000 μB per atom
* E_tot: -18.098 eV/atom
* E_form (uncorrected): -16.56 eV/f.u.
* crystal system: cubic

[3]
Here is a crystal of Cu4AsClO6 relaxed with PBEsol from Alexandria. Energies are from meta-GGA SCAN.

```
data_Cu4AsClO6
_symmetry_space_group_name_H-M 'P 1'
_symmetry_Int_Tables_number 1
_cell_length_a 5.3948
_cell_length_b 11.1813
_cell_length_c 10.1541
_cell_angle_alpha 90.00
_cell_angle_beta 90.00
_cell_angle_gamma 90.00
loop_
_symmetry_equiv_pos_as_xyz
'x,y,z'
loop_
_atom_site_label
_atom_site_fract_x
_atom_site_fract_y
_atom_site_fract_z
Cu1 0.0359 0.1455 0.2500
Cu2 0.0359 0.3545 0.7500
Cu3 0.1488 0.0867 0.7500
Cu4 0.1488 0.4133 0.2500
Cu5 0.2349 0.5542 0.5437
Cu6 0.2349 0.5542 0.9563
Cu7 0.2349 0.9458 0.0437
Cu8 0.2349 0.9458 0.4563
Cu9 0.7651 0.0542 0.5437
Cu10 0.7651 0.0542 0.9563
Cu11 0.7651 0.4458 0.0437
Cu12 0.7651 0.4458 0.4563
Cu13 0.8512 0.5867 0.7500
Cu14 0.8512 0.9133 0.2500
Cu15 0.9641 0.6455 0.2500
Cu16 0.9641 0.8545 0.7500
As1 0.3259 0.2500 0.0000
As2 0.3259 0.2500 0.5000
As3 0.6741 0.7500 0.0000
As4 0.6741 0.7500 0.5000
Cl1 0.3864 0.5932 0.7500
Cl2 0.3864 0.9068 0.2500
Cl3 0.6136 0.0932 0.7500
Cl4 0.6136 0.4068 0.2500
O1 0.0458 0.5288 0.1186
O2 0.0458 0.5288 0.3814
O3 0.0458 0.9712 0.6186
O4 0.0458 0.9712 0.8814
O5 0.1218 0.2240 0.6297
O6 0.1218 0.2240 0.8703
O7 0.1218 0.2760 0.1297
O8 0.1218 0.2760 0.3703
O9 0.4901 0.1253 0.0422
O10 0.4901 0.1253 0.4578
O11 0.4901 0.3747 0.5422
O12 0.4901 0.3747 0.9578
O13 0.5099 0.6253 0.0422
O14 0.5099 0.6253 0.4578
O15 0.5099 0.8747 0.5422
O16 0.5099 0.8747 0.9578
O17 0.8782 0.7240 0.6297
O18 0.8782 0.7240 0.8703
O19 0.8782 0.7760 0.1297
O20 0.8782 0.7760 0.3703
O21 0.9542 0.0288 0.1186
O22 0.9542 0.0288 0.3814
O23 0.9542 0.4712 0.6186
O24 0.9542 0.4712 0.8814
```

Summary:
* total magnetic moment: 0.165 μB per atom
* E_tot: -11.480 eV/atom
* E_form (uncorrected): -11.41 eV/f.u.
* crystal system: orthorhombic

[4]
Here is a crystal of Cu2AsClO4 relaxed with PBEsol from Alexandria. Energies are from meta-GGA SCAN.

```
data_Cu2AsClO4
_symmetry_space_group_name_H-M 'P 1'
_symmetry_Int_Tables_number 1
_cell_length_a 4.8693
_cell_length_b 6.6778
_cell_length_c 6.6357
_cell_angle_alpha 90.00
_cell_angle_beta 91.82
_cell_angle_gamma 90.00
loop_
_symmetry_equiv_pos_as_xyz
'x,y,z'
loop_
_atom_site_label
_atom_site_fract_x
_atom_site_fract_y
_atom_site_fract_z
Cu1 0.0000 0.0000 0.0000
Cu2 0.0000 0.5000 0.0000
Cu3 0.3502 0.2500 0.2587
Cu4 0.6498 0.7500 0.7413
As1 0.4971 0.7500 0.2417
As2 0.5029 0.2500 0.7583
Cl1 0.1772 0.7500 0.7562
Cl2 0.8228 0.2500 0.2438
O1 0.2522 0.2500 0.9463
O2 0.2834 0.5445 0.2096
O3 0.2834 0.9555 0.2096
O4 0.3124 0.2500 0.5438
O5 0.6876 0.7500 0.4562
O6 0.7166 0.0445 0.7904
O7 0.7166 0.4555 0.7904
O8 0.7478 0.7500 0.0537
```

Summary:
* DOS at the Fermi energy: 0.1263 states/eV per atom
* total magnetic moment: 0.250 μB per atom
* E_tot: -11.410 eV/atom
* E_form (uncorrected): -7.79 eV/f.u.
* crystal system: monoclinic

[5]
Here is a crystal of CuAs2Pb6Cl7O6 relaxed with PBEsol from Alexandria. Energies are from meta-GGA SCAN.

```
data_CuAs2Pb6Cl7O6
_symmetry_space_group_name_H-M 'P 1'
_symmetry_Int_Tables_number 1
_cell_length_a 8.0064
_cell_length_b 8.0064
_cell_length_c 8.0064
_cell_angle_alpha 75.51
_cell_angle_beta 75.51
_cell_angle_gamma 75.51
loop_
_symmetry_equiv_pos_as_xyz
'x,y,z'
loop_
_atom_site_label
_atom_site_fract_x
_atom_site_fract_y
_atom_site_fract_z
Cu1 0.0000 0.0000 0.0000
As1 0.3881 0.3881 0.3881
As2 0.8639 0.8639 0.8639
Pb1 0.2723 0.4988 0.7992
Pb2 0.4657 0.9915 0.7540
Pb3 0.4988 0.7992 0.2723
Pb4 0.7540 0.4657 0.9915
Pb5 0.7992 0.2723 0.4988
Pb6 0.9915 0.7540 0.4657
Cl1 0.0828 0.2401 0.7982
Cl2 0.1757 0.9945 0.4795
Cl3 0.2401 0.7982 0.0828
Cl4 0.4795 0.1757 0.9945
Cl5 0.6267 0.6267 0.6267
Cl6 0.7982 0.0828 0.2401
Cl7 0.9945 0.4795 0.1757
O1 0.2694 0.5701 0.4949
O2 0.4949 0.2694 0.5701
O3 0.5701 0.4949 0.2694
O4 0.6743 0.7745 0.9823
O5 0.7745 0.9823 0.6743
O6 0.9823 0.6743 0.7745
```

Summary:
* DOS at the Fermi energy: 0.0000 states/eV per atom
* total magnetic moment: 0.000 μB per atom
* E_tot: -28.684 eV/atom
* E_form (uncorrected): -27.55 eV/f.u.
* crystal system: trigonal

[6]
Here is a crystal of Cu2As4S3Cl2 relaxed with PBEsol from Alexandria. Energies are from meta-GGA SCAN.

```
data_Cu2As4S3Cl2
_symmetry_space_group_name_H-M 'P 1'
_symmetry_Int_Tables_number 1
_cell_length_a 6.1390
_cell_length_b 6.8782
_cell_length_c 11.5408
_cell_angle_alpha 90.00
_cell_angle_beta 102.43
_cell_angle_gamma 90.00
loop_
_symmetry_equiv_pos_as_xyz
'x,y,z'
loop_
_atom_site_label
_atom_site_fract_x
_atom_site_fract_y
_atom_site_fract_z
Cu1 0.0632 0.0296 0.1925
Cu2 0.0632 0.4704 0.1925
Cu3 0.9368 0.5296 0.8075
Cu4 0.9368 0.9704 0.8075
As1 0.2318 0.0679 0.6009
As2 0.2318 0.4321 0.6009
As3 0.4241 0.7500 0.4114
As4 0.4798 0.2500 0.8990
As5 0.5202 0.7500 0.1010
As6 0.5759 0.2500 0.5886
As7 0.7682 0.5679 0.3991
As8 0.7682 0.9321 0.3991
S1 0.2468 0.7500 0.2149
S2 0.2956 0.5047 0.7978
S3 0.2956 0.9953 0.7978
S4 0.7044 0.0047 0.2022
S5 0.7044 0.4953 0.2022
S6 0.7532 0.2500 0.7851
Cl1 0.1132 0.2500 0.0527
Cl2 0.2122 0.2500 0.3557
Cl3 0.7877 0.7500 0.6443
Cl4 0.8868 0.7500 0.9473
```

Summary:
* DOS at the Fermi energy: 0.0000 states/eV per atom
* total magnetic moment: 0.000 μB per atom
* E_tot: -14.507 eV/atom
* E_form (uncorrected): -3.58 eV/f.u.
* crystal system: monoclinic

[7]
Here is a crystal of AsCl2F relaxed with PBEsol from Alexandria. Energies are from meta-GGA SCAN.

```
data_AsCl2F
_symmetry_space_group_name_H-M 'P 1'
_symmetry_Int_Tables_number 1
_cell_length_a 4.3893
_cell_length_b 4.3893
_cell_length_c 4.3893
_cell_angle_alpha 60.00
_cell_angle_beta 60.00
_cell_angle_gamma 60.00
loop_
_symmetry_equiv_pos_as_xyz
'x,y,z'
loop_
_atom_site_label
_atom_site_fract_x
_atom_site_fract_y
_atom_site_fract_z
As1 0.0000 0.0000 0.0000
Cl1 0.2500 0.2500 0.2500
Cl2 0.7500 0.7500 0.7500
F1 0.5000 0.5000 0.5000
```

Summary:
* total magnetic moment: 0.000 μB per atom
* E_tot: -10.306 eV/atom
* E_form (uncorrected): -1.54 eV/f.u.
* crystal system: cubic

[8]
Here is a crystal of AsCl2F3 relaxed with PBEsol from Alexandria. Energies are from meta-GGA SCAN.

```
data_AsCl2F3
_symmetry_space_group_name_H-M 'P 1'
_symmetry_Int_Tables_number 1
_cell_length_a 8.6827
_cell_length_b 8.6827
_cell_length_c 6.2887
_cell_angle_alpha 90.00
_cell_angle_beta 90.00
_cell_angle_gamma 90.00
loop_
_symmetry_equiv_pos_as_xyz
'x,y,z'
loop_
_atom_site_label
_atom_site_fract_x
_atom_site_fract_y
_atom_site_fract_z
As1 0.2500 0.2500 0.1683
As2 0.2500 0.7500 0.5000
As3 0.7500 0.2500 0.5000
As4 0.7500 0.7500 0.8317
Cl1 0.0576 0.7212 0.3064
Cl2 0.2212 0.9424 0.6936
Cl3 0.2788 0.5576 0.6936
Cl4 0.4424 0.7788 0.3064
Cl5 0.5576 0.2212 0.6936
Cl6 0.7212 0.4424 0.3064
Cl7 0.7788 0.0576 0.3064
Cl8 0.9424 0.2788 0.6936
F1 0.0545 0.3047 0.1655
F2 0.1953 0.0545 0.1655
F3 0.2500 0.2500 0.4469
F4 0.2500 0.2500 0.8853
F5 0.3047 0.4455 0.1655
F6 0.4455 0.1953 0.1655
F7 0.5545 0.8047 0.8345
F8 0.6953 0.5545 0.8345
F9 0.7500 0.7500 0.1147
F10 0.7500 0.7500 0.5531
F11 0.8047 0.9455 0.8345
F12 0.9455 0.6953 0.8345
```

Summary:
* DOS at the Fermi energy: 0.0000 states/eV per atom
* total magnetic moment: 0.000 μB per atom
* E_tot: -9.345 eV/atom
* E_form (uncorrected): -9.30 eV/f.u.
* crystal system: tetragonal

[9]
Here is a crystal of As2Cl2F relaxed with PBEsol from Alexandria. Energies are from meta-GGA SCAN.

```
data_As2Cl2F
_symmetry_space_group_name_H-M 'P 1'
_symmetry_Int_Tables_number 1
_cell_length_a 5.0745
_cell_length_b 5.0745
_cell_length_c 5.0745
_cell_angle_alpha 116.99
_cell_angle_beta 116.99
_cell_angle_gamma 95.29
loop_
_symmetry_equiv_pos_as_xyz
'x,y,z'
loop_
_atom_site_label
_atom_site_fract_x
_atom_site_fract_y
_atom_site_fract_z
As1 0.1857 0.1857 0.0000
As2 0.8143 0.8143 0.0000
Cl1 0.2500 0.7500 0.5000
Cl2 0.7500 0.2500 0.5000
F1 0.5000 0.5000 0.0000
```

Summary:
* DOS at the Fermi energy: 0.3081 states/eV per atom
* total magnetic moment: 0.000 μB per atom
* E_tot: -12.330 eV/atom
* E_form (uncorrected): -1.77 eV/f.u.
* crystal system: tetragonal

[10]
Here is a crystal of AsSClOF8 relaxed with PBEsol from Alexandria. Energies are from meta-GGA SCAN.

```
data_AsSClOF8
_symmetry_space_group_name_H-M 'P 1'
_symmetry_Int_Tables_number 1
_cell_length_a 8.1676
_cell_length_b 9.0530
_cell_length_c 9.8182
_cell_angle_alpha 90.00
_cell_angle_beta 95.63
_cell_angle_gamma 90.00
loop_
_symmetry_equiv_pos_as_xyz
'x,y,z'
loop_
_atom_site_label
_atom_site_fract_x
_atom_site_fract_y
_atom_site_fract_z
As1 0.0027 0.0000 0.3163
As2 0.4965 0.3690 0.1861
As3 0.5035 0.8690 0.8139
As4 0.9973 0.5000 0.6837
S1 0.0016 0.0024 0.8777
S2 0.4808 0.8234 0.3628
S3 0.5192 0.3234 0.6372
S4 0.9984 0.5024 0.1223
Cl1 0.0387 0.9778 0.6910
Cl2 0.4660 0.3828 0.8138
Cl3 0.5340 0.8828 0.1862
Cl4 0.9613 0.4778 0.3090
O1 0.0320 0.3774 0.0463
O2 0.3527 0.7235 0.3750
O3 0.6473 0.2235 0.6250
O4 0.9680 0.8774 0.9537
F1 0.0786 0.3264 0.7377
F2 0.0882 0.1686 0.3749
F3 0.0921 0.5840 0.8311
F4 0.1028 0.9134 0.4655
F5 0.1282 0.6235 0.1205
F6 0.1475 0.0918 0.9422
F7 0.1704 0.5306 0.5950
F8 0.1794 0.9625 0.2316
F9 0.3178 0.4101 0.2659
F10 0.3262 0.8366 0.8977
F11 0.3572 0.2729 0.5604
F12 0.4064 0.4627 0.0366
F13 0.4097 0.2038 0.1215
F14 0.4170 0.0396 0.7540
F15 0.4173 0.7808 0.6655
F16 0.4624 0.9687 0.4389
F17 0.5376 0.4687 0.5611
F18 0.5827 0.2808 0.3345
F19 0.5830 0.5396 0.2460
F20 0.5903 0.7038 0.8785
F21 0.5936 0.9627 0.9634
F22 0.6428 0.7729 0.4396
F23 0.6738 0.3366 0.1023
F24 0.6822 0.9101 0.7341
F25 0.8206 0.4625 0.7684
F26 0.8296 0.0306 0.4050
F27 0.8525 0.5918 0.0578
F28 0.8718 0.1235 0.8795
F29 0.8972 0.4134 0.5345
F30 0.9079 0.0840 0.1689
F31 0.9118 0.6686 0.6251
F32 0.9214 0.8264 0.2623
```

Summary:
* DOS at the Fermi energy: 0.0000 states/eV per atom
* total magnetic moment: 0.015 μB per atom
* E_tot: -7.809 eV/atom
* E_form (uncorrected): -21.36 eV/f.u.
* crystal system: monoclinic

[11]
Here is a crystal of AsSCl3F6 relaxed with PBEsol from Alexandria. Energies are from meta-GGA SCAN.

```
data_AsSCl3F6
_symmetry_space_group_name_H-M 'P 1'
_symmetry_Int_Tables_number 1
_cell_length_a 7.8289
_cell_length_b 8.8580
_cell_length_c 11.8605
_cell_angle_alpha 90.00
_cell_angle_beta 90.00
_cell_angle_gamma 90.00
loop_
_symmetry_equiv_pos_as_xyz
'x,y,z'
loop_
_atom_site_label
_atom_site_fract_x
_atom_site_fract_y
_atom_site_fract_z
As1 0.2041 0.0412 0.3113
As2 0.2959 0.9588 0.8113
As3 0.7041 0.4588 0.6887
As4 0.7959 0.5412 0.1887
S1 0.1561 0.4705 0.4794
S2 0.3439 0.5295 0.9794
S3 0.6561 0.0295 0.5206
S4 0.8439 0.9705 0.0206
Cl1 0.1380 0.5065 0.8828
Cl2 0.1567 0.6631 0.5646
Cl3 0.2226 0.3222 0.5960
Cl4 0.2774 0.6778 0.0960
Cl5 0.3433 0.3369 0.0646
Cl6 0.3620 0.4935 0.3828
Cl7 0.6380 0.9935 0.1172
Cl8 0.6567 0.8369 0.4354
Cl9 0.7226 0.1778 0.4040
Cl10 0.7774 0.8222 0.9040
Cl11 0.8433 0.1631 0.9354
Cl12 0.8620 0.0065 0.6172
F1 0.0404 0.9508 0.3856
F2 0.0805 0.0423 0.1877
F3 0.1191 0.2196 0.3480
F4 0.1276 0.8685 0.7373
F5 0.1689 0.9548 0.9346
F6 0.2071 0.1350 0.7746
F7 0.2929 0.8650 0.2746
F8 0.3311 0.0452 0.4346
F9 0.3724 0.1315 0.2373
F10 0.3809 0.7804 0.8480
F11 0.4195 0.9577 0.6877
F12 0.4596 0.0492 0.8856
F13 0.5404 0.5492 0.6144
F14 0.5805 0.4577 0.8123
F15 0.6191 0.2804 0.6520
F16 0.6276 0.6315 0.2627
F17 0.6689 0.5452 0.0654
F18 0.7071 0.3650 0.2254
F19 0.7929 0.6350 0.7254
F20 0.8311 0.4548 0.5654
F21 0.8724 0.3685 0.7627
F22 0.8809 0.7196 0.1520
F23 0.9195 0.5423 0.3123
F24 0.9596 0.4508 0.1144
```

Summary:
* DOS at the Fermi energy: 0.0000 states/eV per atom
* total magnetic moment: 0.000 μB per atom
* E_tot: -8.317 eV/atom
* E_form (uncorrected): -16.50 eV/f.u.
* crystal system: orthorhombic

[12]
Here is a crystal of AsS3Cl3F6 relaxed with PBEsol from Alexandria. Energies are from meta-GGA SCAN.

```
data_AsS3Cl3F6
_symmetry_space_group_name_H-M 'P 1'
_symmetry_Int_Tables_number 1
_cell_length_a 7.6483
_cell_length_b 7.9970
_cell_length_c 10.0282
_cell_angle_alpha 83.40
_cell_angle_beta 68.56
_cell_angle_gamma 64.13
loop_
_symmetry_equiv_pos_as_xyz
'x,y,z'
loop_
_atom_site_label
_atom_site_fract_x
_atom_site_fract_y
_atom_site_fract_z
As1 0.1932 0.2596 0.2437
As2 0.8068 0.7404 0.7563
S1 0.1156 0.1617 0.9034
S2 0.3471 0.6708 0.4296
S3 0.4866 0.7079 0.5360
S4 0.5134 0.2921 0.4640
S5 0.6529 0.3292 0.5704
S6 0.8844 0.8383 0.0966
Cl1 0.1235 0.1531 0.7059
Cl2 0.1727 0.7786 0.9743
Cl3 0.4915 0.3358 0.7890
Cl4 0.5085 0.6642 0.2110
Cl5 0.8273 0.2214 0.0257
Cl6 0.8765 0.8469 0.2941
F1 0.0782 0.6202 0.7051
F2 0.1671 0.1324 0.3995
F3 0.1889 0.0866 0.1507
F4 0.1983 0.4325 0.3335
F5 0.2209 0.3835 0.0857
F6 0.4668 0.1388 0.1907
F7 0.5332 0.8612 0.8093
F8 0.7791 0.6165 0.9143
F9 0.8017 0.5675 0.6665
F10 0.8111 0.9134 0.8493
F11 0.8329 0.8676 0.6005
F12 0.9218 0.3798 0.2949
```

Summary:
* DOS at the Fermi energy: 0.2670 states/eV per atom
* total magnetic moment: 0.043 μB per atom
* E_tot: -8.476 eV/atom
* E_form (uncorrected): -15.94 eV/f.u.
* crystal system: triclinic